No. 1
DFT (GGA-PBE) results for a geometry-optimized Ho2TiAl4Au3 structure.

E (eV/atom): -4.78
Crystal system: tetragonal
Density of states at the Fermi level (states/eV/f.u.): 5.93
Formation energy (eV per atom): -0.592

Cell and atoms, written as extended XYZ:
```
10
Lattice="4.183 0.000 0.000 0.000 4.183 0.000 0.000 0.000 11.304" Properties=species:S:1:pos:R:3 pbc="T T T"
Ho 0.000 2.091 2.801
Ho 2.091 0.000 8.503
Ti 2.091 2.091 0.000
Al 0.000 0.000 5.652
Al 0.000 2.091 9.676
Al 2.091 0.000 1.628
Al 2.091 2.091 5.652
Au 0.000 0.000 0.000
Au 0.000 2.091 7.182
Au 2.091 0.000 4.122
```

No. 2
DFT (GGA-PBE) results for a geometry-optimized YHo2AlAu4 structure.

E (eV/atom): -4.83
Crystal system: trigonal
Density of states at the Fermi level (states/eV/f.u.): 3.20
Formation energy (eV per atom): -0.770

Cell and atoms, written as extended XYZ:
```
8
Lattice="2.467 1.424 8.209 -2.467 1.424 8.209 0.000 -2.849 8.209" Properties=species:S:1:pos:R:3 pbc="T T T"
Y 0.000 0.000 0.000
Ho 0.000 0.000 5.984
Ho 0.000 0.000 18.644
Al 0.000 0.000 12.314
Au 0.000 0.000 3.002
Au 0.000 0.000 9.452
Au 0.000 0.000 15.177
Au 0.000 0.000 21.626
```

No. 3
DFT (GGA-PBE) results for a geometry-optimized Ho2Al4ZnAu3 structure.

E (eV/atom): -4.16
Crystal system: tetragonal
Density of states at the Fermi level (states/eV/f.u.): 5.22
Formation energy (eV per atom): -0.634

Cell and atoms, written as extended XYZ:
```
10
Lattice="4.229 0.000 0.000 0.000 4.229 0.000 0.000 0.000 10.860" Properties=species:S:1:pos:R:3 pbc="T T T"
Ho 0.000 2.115 2.652
Ho 2.115 0.000 8.208
Al 0.000 0.000 5.430
Al 0.000 2.115 9.394
Al 2.115 0.000 1.467
Al 2.115 2.115 5.430
Zn 2.115 2.115 0.000
Au 0.000 0.000 0.000
Au 0.000 2.115 6.924
Au 2.115 0.000 3.937
```

No. 4
DFT (GGA-PBE) results for a geometry-optimized HoAlZn2Au5 structure.

E (eV/atom): -3.26
Crystal system: orthorhombic
Density of states at the Fermi level (states/eV/f.u.): 4.18
Formation energy (eV per atom): -0.235

Cell and atoms, written as extended XYZ:
```
9
Lattice="-2.386 2.858 6.907 2.386 -2.858 6.907 2.386 2.858 -6.907" Properties=species:S:1:pos:R:3 pbc="T T T"
Ho 0.000 0.000 0.000
Al 0.000 0.000 6.907
Zn 2.386 0.000 4.321
Zn 0.000 2.858 2.585
Au 2.386 1.373 -2.089
Au 2.386 1.373 2.089
Au 0.000 2.858 0.000
Au 0.000 1.485 4.818
Au 0.000 1.485 8.996
```